[1]
The following is a PBE-GGA calculation of a geometry-optimized Ce2TlRu structure, from Alexandria.

Lattice parameters (Å, degrees): 3.307 3.307 8.791 90.00 90.00 90.00
Fractional coordinates of all 4 atoms:
Ru 0.500 0.500 0.000
Tl 0.500 0.500 0.500
Ce 0.000 0.000 0.794
Ce 0.000 0.000 0.206



[2]
The following is a PBE-GGA calculation of a geometry-optimized Ce6Tl3Ru structure, from Alexandria.

Lattice parameters (Å, degrees): 8.381 6.138 6.138 67.66 77.63 77.63
Fractional coordinates of all 10 atoms:
Tl 0.248 0.184 0.184
Ce 0.628 0.912 0.328
Tl 0.752 0.816 0.816
Ce 0.372 0.088 0.672
Ce 0.372 0.672 0.088
Ru 0.500 0.500 0.500
Tl 0.000 0.000 0.000
Ce 0.628 0.328 0.912
Ce 0.866 0.354 0.354
Ce 0.134 0.646 0.646



[3]
The following is a PBE-GGA calculation of a geometry-optimized CeTlRu structure, from Alexandria.

Lattice parameters (Å, degrees): 4.068 5.717 9.009 134.36 83.57 85.80
Fractional coordinates of all 6 atoms:
Ru 0.283 0.805 0.479
Tl 0.918 0.430 0.151
Tl 0.082 0.570 0.849
Ce 0.408 0.103 0.291
Ce 0.592 0.897 0.709
Ru 0.717 0.195 0.521



[4]
The following is a PBE-GGA calculation of a geometry-optimized Ce12TlRu6 structure, from Alexandria.

Lattice parameters (Å, degrees): 8.308 8.308 8.308 106.69 106.69 106.69
Fractional coordinates of all 19 atoms:
Ce 0.889 0.500 0.111
Ce 0.844 0.582 0.582
Ce 0.582 0.582 0.844
Ru 0.286 0.702 0.286
Ce 0.111 0.889 0.500
Ce 0.418 0.418 0.156
Ce 0.500 0.889 0.111
Ru 0.702 0.286 0.286
Ce 0.582 0.844 0.582
Ce 0.156 0.418 0.418
Ce 0.889 0.111 0.500
Ce 0.500 0.111 0.889
Ru 0.298 0.714 0.714
Tl 0.000 0.000 0.000
Ce 0.418 0.156 0.418
Ce 0.111 0.500 0.889
Ru 0.714 0.298 0.714
Ru 0.714 0.714 0.298
Ru 0.286 0.286 0.702



| no. | M_tot (μB/f.u.) | formation energy (eV/atom) |
| --- | --- | --- |
| 1 | 0.47 | -0.3121 |
| 2 | 4.74 | -0.1202 |
| 3 | 0.00 | -0.2422 |
| 4 | 6.37 | -0.1215 |